Entry 1:
DFT (PBE) results for an optimized crystal structure of MnBeTe2N.

Geometry as POSCAR:
```
MnBeTe2N
1.0
-2.628 -3.377 -2.944
1.834 -3.925 2.865
-2.690 0.270 2.092
Te Be Mn N
2 1 1 1
direct
0.000 0.500 0.000
0.500 0.000 0.000
0.500 0.500 0.500
0.000 0.000 0.000
0.000 0.000 0.500
```

Calculated values
- D(E_F) (states/eV per atom) = 0.314
- energy above the lowest structure with this stoichiometry (meV/atom) = 0.0
- energy relative to the elements, uncorrected (eV per atom) = 0.483

***

Entry 2:
DFT (PBE) results for an optimized crystal structure of Ba2DyHgTe5.

Geometry as POSCAR:
```
Ba2DyHgTe5
1.0
4.575 0.000 0.000
-2.288 10.276 0.000
0.000 0.000 14.110
Te Dy Ba Hg
10 2 4 2
direct
0.055 0.110 0.060
0.505 0.009 0.261
0.694 0.389 0.865
0.646 0.292 0.508
0.707 0.413 0.163
0.306 0.611 0.365
0.354 0.708 0.008
0.293 0.587 0.663
0.495 0.991 0.761
0.945 0.890 0.560
0.207 0.413 0.015
0.793 0.587 0.515
0.130 0.260 0.319
0.119 0.239 0.691
0.870 0.740 0.819
0.881 0.761 0.191
0.451 0.903 0.441
0.549 0.097 0.941
```

Calculated values
- D(E_F) (states/eV per atom) = 0.586
- energy relative to the elements, uncorrected (eV per atom) = -1.185

***

Entry 3:
DFT (PBE) results for an optimized crystal structure of NaH2BrF8.

Geometry as POSCAR:
```
NaH2BrF8
1.0
-1.425 4.751 -0.179
-3.653 0.033 -3.258
-4.477 -1.897 4.865
F H Br Na
8 2 1 1
direct
0.238 0.780 0.222
0.238 0.240 0.001
0.701 0.709 0.441
0.802 0.216 0.191
0.762 0.760 0.999
0.198 0.784 0.809
0.299 0.291 0.559
0.762 0.220 0.778
0.558 0.725 0.333
0.442 0.275 0.667
0.000 0.000 0.000
0.000 0.000 0.500
```

Calculated values
- calculated total energy (eV/atom) = -3.529
- D(E_F) (states/eV per atom) = 0.000

***

Entry 4:
DFT (PBE) results for an optimized crystal structure of SnAs2O.

Geometry as POSCAR:
```
SnAs2O
1.0
0.000 3.273 3.273
3.273 0.000 3.273
3.273 3.273 0.000
As O Sn
2 1 1
direct
0.750 0.750 0.750
0.250 0.250 0.250
0.000 0.000 0.000
0.500 0.500 0.500
```

Calculated values
- D(E_F) (states/eV per atom) = 0.547
- energy above the lowest structure with this stoichiometry (meV/atom) = 457.6
- energy relative to the elements, uncorrected (eV per atom) = 0.385

***

Entry 5:
DFT (PBE) results for an optimized crystal structure of Nb3AsIr.

Geometry as POSCAR:
```
Nb3AsIr
1.0
4.869 0.000 0.000
0.000 4.869 0.000
0.000 0.000 4.869
Nb As Ir
3 1 1
direct
0.000 0.500 0.000
0.000 0.000 0.500
0.500 0.000 0.000
0.500 0.500 0.500
0.000 0.000 0.000
```

Calculated values
- D(E_F) (states/eV per atom) = 1.167
- energy above the lowest structure with this stoichiometry (meV/atom) = 95.4

***

Entry 6:
DFT (PBE) results for an optimized crystal structure of PuTaB2.

Geometry as POSCAR:
```
PuTaB2
1.0
-0.414 -2.980 1.367
2.273 -2.355 -0.451
3.548 0.097 5.280
Ta B Pu
1 2 1
direct
0.000 0.000 0.000
0.261 0.261 0.218
0.739 0.739 0.782
0.500 0.500 0.500
```

Calculated values
- calculated total energy (eV/atom) = -9.903
- D(E_F) (states/eV per atom) = 1.705

***

Entry 7:
DFT (PBE) results for an optimized crystal structure of CsYC.

Geometry as POSCAR:
```
CsYC
1.0
-3.568 6.670 -11.944
1.136 -3.170 -2.236
-3.516 -1.996 -0.123
Y Cs C
2 2 2
direct
0.944 0.956 0.075
0.785 0.470 0.579
0.187 0.437 0.565
0.535 0.994 0.086
0.960 0.348 0.468
0.960 0.561 0.681
```

Calculated values
- D(E_F) (states/eV per atom) = 0.723
- energy above the lowest structure with this stoichiometry (meV/atom) = 152.9

***

Entry 8:
DFT (PBE) results for an optimized crystal structure of Dy6Rh5Au.

Geometry as POSCAR:
```
Dy6Rh5Au
1.0
4.618 -0.027 1.539
0.037 6.964 0.012
0.001 -0.014 7.695
Rh Dy Au
5 6 1
direct
0.667 0.000 0.665
0.666 0.500 0.667
0.000 0.500 0.000
0.333 0.000 0.335
0.334 0.500 0.333
0.170 0.748 0.660
0.500 0.257 0.000
0.500 0.743 0.000
0.830 0.252 0.340
0.830 0.748 0.340
0.170 0.252 0.660
0.000 0.000 0.000
```

Calculated values
- calculated total energy (eV/atom) = -6.501
- D(E_F) (states/eV per atom) = 0.586

***

Entry 9:
DFT (PBE) results for an optimized crystal structure of Rb2YP2S6.

Geometry as POSCAR:
```
Rb2YP2S6
1.0
-5.700 -1.012 -3.839
4.380 -5.224 1.158
-4.632 1.944 6.365
P S Y Rb
2 6 1 2
direct
0.051 0.101 0.180
0.949 0.899 0.820
0.719 0.926 0.213
0.247 0.494 0.369
0.281 0.074 0.787
0.793 0.074 0.787
0.753 0.506 0.631
0.207 0.926 0.213
0.500 0.000 0.500
0.286 0.573 0.805
0.714 0.427 0.195
```

Calculated values
- D(E_F) (states/eV per atom) = 0.253
- energy relative to the elements, uncorrected (eV per atom) = -0.891

***

Entry 10:
DFT (PBE) results for an optimized crystal structure of Sc2PS.

Geometry as POSCAR:
```
Sc2PS
1.0
-3.932 0.210 4.292
-2.644 -4.705 -2.192
0.120 -5.695 4.342
Sc S P
4 2 2
direct
0.875 0.874 0.750
0.375 0.376 0.750
0.624 0.125 0.250
0.126 0.625 0.250
0.000 0.000 0.000
0.750 0.250 0.500
0.250 0.750 0.500
0.500 0.500 0.000
```

Calculated values
- D(E_F) (states/eV per atom) = 0.657
- energy above the lowest structure with this stoichiometry (meV/atom) = 458.7
- energy relative to the elements, uncorrected (eV per atom) = -1.283

***

Entry 11:
DFT (PBE) results for an optimized crystal structure of Cs2YTlCo.

Geometry as POSCAR:
```
Cs2YTlCo
1.0
7.403 0.000 0.000
0.000 4.566 0.000
0.000 0.000 7.403
Tl Cs Y Co
1 2 1 1
direct
0.500 0.500 0.500
0.500 0.000 0.000
0.000 0.000 0.500
0.000 0.000 0.000
0.000 0.500 0.000
```

Calculated values
- calculated total energy (eV/atom) = -2.675
- D(E_F) (states/eV per atom) = 1.555

***

Entry 12:
DFT (PBE) results for an optimized crystal structure of Li2Cl.

Geometry as POSCAR:
```
Li2Cl
1.0
-4.828 0.866 -0.126
2.296 -0.473 4.310
1.015 5.675 0.082
Li Cl
4 2
direct
0.000 0.000 0.000
0.667 0.333 0.250
0.000 0.000 0.500
0.333 0.667 0.750
0.667 0.333 0.750
0.333 0.667 0.250
```

Calculated values
- D(E_F) (states/eV per atom) = 0.385
- energy above the lowest structure with this stoichiometry (meV/atom) = 364.3
- energy relative to the elements, uncorrected (eV per atom) = -0.702